# Pm3Pr4Dy8

A geometry-optimized Pm3Pr4Dy8 structure (PBE, the Alexandria database).

abc: 6.8309 9.3649 9.3649
angles: 87.23 111.44 111.44
Fractional coordinates of all 15 atoms:
Pm 0.5000 0.5000 0.0000
Pm 0.5000 0.0000 0.5000
Pm 0.5000 0.5000 0.5000
Pr 0.5000 0.0000 0.0000
Pr 0.0000 0.5000 0.0000
Pr 0.0000 0.0000 0.0000
Pr 0.0000 0.0000 0.5000
Dy 0.5274 0.2684 0.2684
Dy 0.0000 0.6398 0.3602
Dy 0.0062 0.2698 0.2698
Dy 0.5000 0.7425 0.2575
Dy 0.5000 0.2575 0.7425
Dy 0.9938 0.7302 0.7302
Dy 0.0000 0.3602 0.6398
Dy 0.4726 0.7316 0.7316

Values from the calculation:
spin magnetization: 0.0 μB per cell
SG: C2/m (12)


# Pm7Pr6Dy16

A geometry-optimized Pm7Pr6Dy16 structure (PBE, the Alexandria database).

abc: 11.2839 11.2839 11.2839
angles: 60.00 60.00 60.00
Fractional coordinates of all 29 atoms:
Pm 0.0000 0.0000 0.0000
Pm 0.5000 0.0000 0.5000
Pm 0.0000 0.5000 0.0000
Pm 0.0000 0.5000 0.5000
Pm 0.5000 0.0000 0.0000
Pm 0.0000 0.0000 0.5000
Pm 0.5000 0.5000 0.0000
Pr 0.2656 0.7344 0.2656
Pr 0.7344 0.2656 0.7344
Pr 0.7344 0.2656 0.2656
Pr 0.2656 0.7344 0.7344
Pr 0.7344 0.7344 0.2656
Pr 0.2656 0.2656 0.7344
Dy 0.8708 0.8708 0.3875
Dy 0.8708 0.8708 0.8708
Dy 0.8708 0.3875 0.8708
Dy 0.3875 0.8708 0.8708
Dy 0.1292 0.1292 0.1292
Dy 0.1292 0.1292 0.6125
Dy 0.1292 0.6125 0.1292
Dy 0.6125 0.1292 0.1292
Dy 0.6509 0.6509 0.0474
Dy 0.6509 0.6509 0.6509
Dy 0.6509 0.0474 0.6509
Dy 0.0474 0.6509 0.6509
Dy 0.3491 0.3491 0.3491
Dy 0.3491 0.3491 0.9526
Dy 0.3491 0.9526 0.3491
Dy 0.9526 0.3491 0.3491

Values from the calculation:
spin magnetization: 0.0 μB per cell
SG: Fm-3m (225)


# PmPr2Dy

A geometry-optimized PmPr2Dy structure (PBE, the Alexandria database).

abc: 5.8074 5.8074 5.8074
angles: 60.00 60.00 60.00
Fractional coordinates of all 4 atoms:
Pr 0.2500 0.2500 0.2500
Pr 0.7500 0.7500 0.7500
Pm 0.5000 0.5000 0.5000
Dy 0.0000 0.0000 0.0000

Values from the calculation:
E above lowest polymorph: 110.0 meV per atom
spin magnetization: 0.0 μB per cell
SG: Fm-3m (225)


# PmPr3Dy12

A geometry-optimized PmPr3Dy12 structure (PBE, the Alexandria database).

abc: 5.0618 5.0618 20.2527
angles: 90.00 90.00 90.00
Fractional coordinates of all 16 atoms:
Pm 0.0000 0.0000 0.0000
Pr 0.0000 0.0000 0.2496
Pr 0.0000 0.0000 0.5000
Pr 0.0000 0.0000 0.7504
Dy 0.5000 0.5000 0.0000
Dy 0.5000 0.5000 0.2493
Dy 0.5000 0.5000 0.5000
Dy 0.5000 0.5000 0.7507
Dy 0.5000 0.0000 0.1241
Dy 0.5000 0.0000 0.3747
Dy 0.5000 0.0000 0.6253
Dy 0.5000 0.0000 0.8759
Dy 0.0000 0.5000 0.1241
Dy 0.0000 0.5000 0.3747
Dy 0.0000 0.5000 0.6253
Dy 0.0000 0.5000 0.8759

Values from the calculation:
spin magnetization: 0.0 μB per cell
SG: P4/mmm (123)


Computed values of formation energy (unit: meV/atom) for the preceding records, in sequence: 350 229 122 21.